No. 1
# Al6GaW2

Crystalline Al6GaW2 at its relaxed geometry (PBE, Alexandria via LeMat-Bulk).

Formation energy from the elements ... -4 kJ per mole of atoms
D(E_F) ... 3.46 states/eV/cell
Space-group type ... C2/m, No. 12
M_tot ... 0.000 μB/atom

Unit cell a=3.6952 b=6.5029 c=6.5780 alpha=111.85 beta=106.31 gamma=90.00
Positions (direct):
1 Al 0.3970 0.8468 0.7941
2 Al 0.6030 0.1532 0.2059
3 Al 0.7260 0.8460 0.4519
4 Al 0.1727 0.5025 0.3454
5 Al 0.2740 0.1540 0.5481
6 Al 0.8273 0.4975 0.6546
7 Ga 0.5000 0.5000 0.0000
8 W 0.9449 0.1947 0.8899
9 W 0.0551 0.8053 0.1101



No. 2
# AlGaW

Crystalline AlGaW at its relaxed geometry (PBE, Alexandria via LeMat-Bulk).

Formation energy from the elements ... 11 kJ per mole of atoms
Relative energy among the computed polymorphs ... 0.40 eV/f.u.
D(E_F) ... 2.20 states/eV/cell
Space-group type ... P3m1, No. 156
M_tot ... 0.000 μB/atom

Unit cell a=2.6715 b=4.4625 c=4.4625 alpha=120.00 beta=90.00 gamma=90.00
Positions (direct):
1 Ga 0.4988 0.6667 0.3333
2 W 0.9999 0.0000 0.0000
3 Al 0.5012 0.3333 0.6667